(1)
AcLa5PmSm2 after structural relaxation. Source: Alexandria, functional PBE-GGA.

Values from the calculation:
**Raw total energy**: -4.54 eV per atom
**Total moment**: 0.00 μB per formula unit
**DOS at the Fermi energy**: 31.69 states/eV/cell
**Symmetry**: No. 127
**Formation enthalpy at 0 K**: 0.23 eV per atom

```
AcLa5PmSm2
1.0
10.370 0.000 0.000
0.000 8.116 0.000
0.000 0.000 8.116
Pm La Sm Ac
2 10 4 2
direct
0.000 0.000 0.500
0.000 0.500 0.000
0.245 0.698 0.802
0.755 0.198 0.698
0.500 0.000 0.000
0.755 0.302 0.198
0.245 0.198 0.698
0.755 0.802 0.302
0.245 0.802 0.302
0.500 0.500 0.500
0.755 0.698 0.802
0.245 0.302 0.198
0.500 0.870 0.630
0.500 0.130 0.370
0.500 0.630 0.130
0.500 0.370 0.870
0.000 0.000 0.000
0.000 0.500 0.500
```

***

(2)
ZnAsS2Cl after structural relaxation. Source: Alexandria, functional PBE-GGA.

Values from the calculation:
**Polymorph energy (0 for the lowest one)**: 0.000 eV/atom
**Raw total energy**: -2.90 eV per atom
**Total moment**: 0.00 μB per formula unit
**DOS at the Fermi energy**: 4.22 states/eV/cell
**Symmetry**: No. 123
**Formation energy without anion corrections**: 309 meV per atom

```
ZnAsS2Cl
1.0
4.812 0.000 0.000
0.000 4.812 0.000
0.000 0.000 4.872
Cl S Zn As
1 2 1 1
direct
0.000 0.000 0.500
0.500 0.000 0.000
0.000 0.500 0.000
0.500 0.500 0.500
0.000 0.000 0.000
```

***

(3)
Ag5TeSe4Br2 after structural relaxation. Source: Alexandria, functional PBE-GGA.

Values from the calculation:
**Raw total energy**: -2.98 eV per atom
**Total moment**: 0.00 μB per formula unit
**DOS at the Fermi energy**: 3.24 states/eV/cell
**Symmetry**: No. 38
**Formation energy without anion corrections**: -93 meV per atom

```
Ag5TeSe4Br2
1.0
-5.168 -4.271 0.477
2.402 1.689 -6.208
5.086 -6.119 0.303
Br Se Ag Te
2 4 5 1
direct
0.940 0.640 0.500
0.300 0.360 0.500
0.074 0.667 0.000
0.680 0.000 0.303
0.680 0.000 0.697
0.407 0.333 0.000
0.055 0.377 0.778
0.678 0.623 0.222
0.678 0.623 0.778
0.356 0.000 0.500
0.055 0.377 0.222
0.503 0.000 0.000
```

***

(4)
PrYTmIn after structural relaxation. Source: Alexandria, functional PBE-GGA.

Values from the calculation:
**Polymorph energy (0 for the lowest one)**: 0.000 eV/atom
**Raw total energy**: -4.87 eV per atom
**Total moment**: 0.09 μB per formula unit
**DOS at the Fermi energy**: 5.69 states/eV/cell
**Symmetry**: No. 47
**Formation enthalpy at 0 K**: -0.26 eV per atom

```
PrYTmIn
1.0
4.903 0.000 0.000
0.000 4.852 0.000
0.000 0.000 4.937
Y In Pr Tm
1 1 1 1
direct
0.500 0.000 0.500
0.000 0.500 0.500
0.500 0.500 0.000
0.000 0.000 0.000
```

***

(5)
LiCd2Hg2Pd5 after structural relaxation. Source: Alexandria, functional PBE-GGA.

Values from the calculation:
**Raw total energy**: -3.18 eV per atom
**Total moment**: 0.00 μB per formula unit
**DOS at the Fermi energy**: 5.05 states/eV/cell
**Symmetry**: No. 127
**Formation enthalpy at 0 K**: -0.15 eV per atom

```
LiCd2Hg2Pd5
1.0
3.111 0.000 0.000
0.000 10.840 0.000
0.000 0.000 10.840
Hg Cd Pd Li
4 4 10 2
direct
0.000 0.850 0.650
0.000 0.650 0.150
0.000 0.150 0.350
0.000 0.350 0.850
0.000 0.850 0.350
0.000 0.150 0.650
0.000 0.650 0.850
0.000 0.350 0.150
0.500 0.869 0.134
0.500 0.369 0.366
0.500 0.000 0.500
0.500 0.634 0.369
0.500 0.500 0.000
0.500 0.134 0.131
0.500 0.366 0.631
0.500 0.631 0.634
0.500 0.131 0.866
0.500 0.866 0.869
0.000 0.000 0.000
0.000 0.500 0.500
```

***

(6)
BePOs2 after structural relaxation. Source: Alexandria, functional PBE-GGA.

Values from the calculation:
**Raw total energy**: -7.96 eV per atom
**Total moment**: 0.00 μB per formula unit
**DOS at the Fermi energy**: 2.19 states/eV/cell
**Symmetry**: No. 25
**Formation enthalpy at 0 K**: -0.06 eV per atom

```
BePOs2
1.0
-0.823 -2.149 3.313
-2.206 -1.254 -1.361
2.636 -3.137 -1.380
Be Os P
1 2 1
direct
0.500 0.875 0.701
0.000 0.875 0.991
0.500 0.375 0.244
0.000 0.375 0.563
```

***

(7)
ZnSi2Bi2 after structural relaxation. Source: Alexandria, functional PBE-GGA.

Values from the calculation:
**Polymorph energy (0 for the lowest one)**: 0.000 eV/atom
**Raw total energy**: -3.70 eV per atom
**Total moment**: 0.00 μB per formula unit
**DOS at the Fermi energy**: 3.61 states/eV/cell
**Symmetry**: No. 127
**Formation energy without anion corrections**: 278 meV per atom

```
ZnSi2Bi2
1.0
-3.647 3.309 4.111
-1.496 -5.441 3.052
4.600 0.706 3.512
Zn Si Bi
2 4 4
direct
0.000 0.000 0.000
0.500 0.500 0.000
0.866 0.634 0.000
0.634 0.134 0.000
0.366 0.866 0.000
0.134 0.366 0.000
0.301 0.801 0.500
0.199 0.301 0.500
0.699 0.199 0.500
0.801 0.699 0.500
```

***

(8)
CdCoAu2 after structural relaxation. Source: Alexandria, functional PBE-GGA.

Values from the calculation:
**Raw total energy**: -3.50 eV per atom
**Total moment**: 1.59 μB per formula unit
**DOS at the Fermi energy**: 3.39 states/eV/cell
**Symmetry**: No. 65
**Formation enthalpy at 0 K**: 0.15 eV per atom

```
CdCoAu2
1.0
-0.997 0.048 4.888
-2.256 -3.953 -2.042
2.342 -1.591 0.493
Cd Co Au
1 1 2
direct
0.500 0.000 0.500
0.000 0.500 0.500
0.000 0.000 0.000
0.500 0.500 0.000
```

***

(9)
ZrReSe2 after structural relaxation. Source: Alexandria, functional PBE-GGA.

Values from the calculation:
**Polymorph energy (0 for the lowest one)**: 0.122 eV/atom
**Raw total energy**: -7.29 eV per atom
**Total moment**: 0.00 μB per formula unit
**DOS at the Fermi energy**: 1.32 states/eV/cell
**Symmetry**: No. 99
**Formation energy without anion corrections**: -299 meV per atom

```
ZrReSe2
1.0
-2.028 -1.889 2.031
1.909 -2.774 -0.673
3.690 1.342 4.932
Re Zr Se
1 1 2
direct
0.500 0.500 0.799
0.000 0.000 0.490
0.500 0.500 0.277
0.000 0.000 0.935
```

***

(10)
NdSe2 after structural relaxation. Source: Alexandria, functional PBE-GGA.

Values from the calculation:
**Raw total energy**: -5.54 eV per atom
**Total moment**: 0.00 μB per formula unit
**DOS at the Fermi energy**: 1.38 states/eV/cell
**Symmetry**: No. 14
**Formation energy without anion corrections**: -1632 meV per atom

```
NdSe2
1.0
-1.699 -0.528 3.796
-7.441 -1.687 -3.566
1.993 -8.328 -0.265
Se Nd
8 4
direct
0.688 0.119 0.998
0.188 0.381 0.002
0.256 0.625 0.368
0.756 0.875 0.632
0.812 0.619 0.998
0.744 0.375 0.632
0.244 0.125 0.368
0.312 0.881 0.002
0.275 0.626 0.725
0.225 0.126 0.725
0.775 0.874 0.275
0.725 0.374 0.275
```

***

(11)
AcPuAlSi2 after structural relaxation. Source: Alexandria, functional PBE-GGA.

Values from the calculation:
**Raw total energy**: -7.00 eV per atom
**Total moment**: 5.68 μB per formula unit
**DOS at the Fermi energy**: 8.21 states/eV/cell
**Symmetry**: No. 119
**Formation energy without anion corrections**: -393 meV per atom

```
AcPuAlSi2
1.0
-1.951 1.025 3.897
-3.994 0.080 -2.021
2.277 -6.246 0.211
Pu Si Al Ac
1 2 1 1
direct
0.750 0.250 0.500
0.395 0.395 0.790
0.605 0.605 0.210
0.250 0.750 0.500
0.000 0.000 0.000
```

***

(12)
ZrGa2Ni9 after structural relaxation. Source: Alexandria, functional PBE-GGA.

Values from the calculation:
**Polymorph energy (0 for the lowest one)**: 0.000 eV/atom
**Raw total energy**: -5.89 eV per atom
**Total moment**: 1.19 μB per formula unit
**DOS at the Fermi energy**: 12.36 states/eV/cell
**Symmetry**: No. 123
**Formation enthalpy at 0 K**: -0.34 eV per atom

```
ZrGa2Ni9
1.0
3.675 0.000 0.000
0.000 3.675 0.000
0.000 0.000 10.729
Ni Ga Zr
9 2 1
direct
0.500 0.000 0.179
0.000 0.500 0.179
0.500 0.500 0.339
0.000 0.500 0.821
0.500 0.500 0.661
0.500 0.500 0.000
0.500 0.000 0.821
0.500 0.000 0.500
0.000 0.500 0.500
0.000 0.000 0.660
0.000 0.000 0.340
0.000 0.000 0.000
```

***

(13)
Pr2Si7Ir12 after structural relaxation. Source: Alexandria, functional PBE-GGA.

Values from the calculation:
**Raw total energy**: -8.13 eV per atom
**Total moment**: 0.00 μB per formula unit
**DOS at the Fermi energy**: 6.87 states/eV/cell
**Symmetry**: No. 174
**Formation energy without anion corrections**: -801 meV per atom

```
Pr2Si7Ir12
1.0
-2.019 2.040 -2.660
5.208 -4.198 -7.172
-8.313 -4.172 3.111
Ir Pr Si
12 2 7
direct
0.000 0.483 0.937
0.000 0.955 0.225
0.500 0.223 0.805
0.500 0.716 0.107
0.500 0.582 0.777
0.500 0.195 0.418
0.500 0.391 0.284
0.000 0.270 0.045
0.000 0.775 0.730
0.000 0.454 0.517
0.500 0.893 0.609
0.000 0.063 0.546
0.500 0.000 0.000
0.000 0.667 0.333
0.000 0.044 0.780
0.000 0.220 0.264
0.500 0.444 0.069
0.500 0.931 0.375
0.000 0.333 0.667
0.000 0.736 0.956
0.500 0.625 0.556
```

***

(14)
Er2UGa2Ru5 after structural relaxation. Source: Alexandria, functional PBE-GGA.

Values from the calculation:
**Raw total energy**: -7.78 eV per atom
**Total moment**: 0.00 μB per formula unit
**DOS at the Fermi energy**: 12.45 states/eV/cell
**Symmetry**: No. 127
**Formation enthalpy at 0 K**: -0.49 eV per atom

```
Er2UGa2Ru5
1.0
3.501 0.000 0.000
0.000 9.953 0.000
0.000 0.000 9.953
Ga Ru Er U
4 10 4 2
direct
0.000 0.872 0.372
0.000 0.372 0.128
0.000 0.128 0.628
0.000 0.628 0.872
0.500 0.698 0.430
0.500 0.000 0.500
0.500 0.198 0.070
0.500 0.802 0.930
0.500 0.302 0.570
0.500 0.570 0.698
0.500 0.430 0.302
0.500 0.070 0.802
0.500 0.930 0.198
0.500 0.500 0.000
0.000 0.332 0.832
0.000 0.168 0.332
0.000 0.668 0.168
0.000 0.832 0.668
0.000 0.500 0.500
0.000 0.000 0.000
```

***

(15)
Pm4RuPb after structural relaxation. Source: Alexandria, functional PBE-GGA.

Values from the calculation:
**Raw total energy**: -5.67 eV per atom
**Total moment**: 0.00 μB per formula unit
**DOS at the Fermi energy**: 12.69 states/eV/cell
**Symmetry**: No. 15
**Formation enthalpy at 0 K**: -0.34 eV per atom

```
Pm4RuPb
1.0
6.282 -0.663 0.000
-2.424 8.700 0.000
-1.929 -4.019 6.838
Pb Pm Ru
2 8 2
direct
0.376 0.626 0.253
0.624 0.374 0.747
0.733 0.354 0.146
0.223 0.277 0.337
0.385 0.940 0.663
0.087 0.209 0.854
0.913 0.791 0.146
0.267 0.646 0.854
0.777 0.723 0.663
0.615 0.060 0.337
0.749 0.999 0.999
0.251 0.001 0.001
```

***

(16)
Dy4CuSn after structural relaxation. Source: Alexandria, functional PBE-GGA.

Values from the calculation:
**Raw total energy**: -4.54 eV per atom
**Total moment**: 0.00 μB per formula unit
**DOS at the Fermi energy**: 13.42 states/eV/cell
**Symmetry**: No. 14
**Formation enthalpy at 0 K**: -0.13 eV per atom

```
Dy4CuSn
1.0
-1.270 -4.150 -5.291
4.657 -4.873 2.704
-5.317 -2.802 4.107
Dy Sn Cu
8 2 2
direct
0.114 0.354 0.824
0.614 0.146 0.824
0.886 0.646 0.176
0.322 0.334 0.353
0.822 0.166 0.353
0.386 0.854 0.176
0.678 0.666 0.647
0.178 0.834 0.647
0.000 0.000 0.000
0.500 0.500 0.000
0.500 0.000 0.500
0.000 0.500 0.500
```

***

(17)
SrTaTe2 after structural relaxation. Source: Alexandria, functional PBE-GGA.

Values from the calculation:
**Polymorph energy (0 for the lowest one)**: 0.237 eV/atom
**Raw total energy**: -5.18 eV per atom
**Total moment**: 1.00 μB per formula unit
**DOS at the Fermi energy**: 3.43 states/eV/cell
**Symmetry**: No. 225
**Formation energy without anion corrections**: -230 meV per atom

```
SrTaTe2
1.0
4.424 -0.888 2.633
0.323 -4.062 3.270
2.988 -4.107 -1.224
Te Sr Ta
2 1 1
direct
0.250 0.250 0.250
0.750 0.750 0.750
0.000 0.000 0.000
0.500 0.500 0.500
```

***

(18)
ReSb5 after structural relaxation. Source: Alexandria, functional PBE-GGA.

Values from the calculation:
**Polymorph energy (0 for the lowest one)**: 0.079 eV/atom
**Raw total energy**: -5.21 eV per atom
**Total moment**: 0.00 μB per formula unit
**DOS at the Fermi energy**: 3.07 states/eV/cell
**Symmetry**: No. 123
**Formation energy without anion corrections**: 296 meV per atom

```
ReSb5
1.0
3.229 0.000 0.000
0.000 3.229 0.000
0.000 0.000 14.450
Sb Re
5 1
direct
0.000 0.000 0.884
0.000 0.000 0.116
0.000 0.000 0.500
0.500 0.500 0.319
0.500 0.500 0.681
0.500 0.500 0.000
```

***

(19)
Cu2Te4Rh after structural relaxation. Source: Alexandria, functional PBE-GGA.

Values from the calculation:
**Raw total energy**: -4.18 eV per atom
**Total moment**: 0.00 μB per formula unit
**DOS at the Fermi energy**: 9.32 states/eV/cell
**Symmetry**: No. 74
**Formation energy without anion corrections**: -160 meV per atom

```
Cu2Te4Rh
1.0
6.925 0.000 3.970
2.288 6.371 4.033
0.084 0.159 7.878
Rh Cu Te
2 4 8
direct
0.000 0.500 0.000
0.500 0.500 0.000
0.500 0.000 0.000
0.500 0.500 0.500
0.117 0.133 0.633
0.883 0.867 0.367
0.741 0.278 0.241
0.723 0.264 0.764
0.741 0.741 0.778
0.277 0.736 0.236
0.259 0.259 0.222
0.751 0.736 0.236
0.259 0.722 0.759
0.249 0.264 0.764
```

***

(20)
PrNd3Er8 after structural relaxation. Source: Alexandria, functional PBE-GGA.

Values from the calculation:
**Raw total energy**: -4.34 eV per atom
**Total moment**: 0.00 μB per formula unit
**DOS at the Fermi energy**: 16.36 states/eV/cell
**Symmetry**: No. 71
**Formation enthalpy at 0 K**: 0.29 eV per atom

```
PrNd3Er8
1.0
7.097 0.528 -4.964
-2.980 8.046 -1.294
-1.750 -0.528 8.482
Er Nd Pr
8 3 1
direct
0.172 0.422 0.250
0.828 0.078 0.250
0.501 0.251 0.249
0.001 0.251 0.751
0.172 0.922 0.750
0.499 0.749 0.750
0.999 0.749 0.250
0.828 0.578 0.750
0.000 0.500 0.500
0.500 0.251 0.751
0.500 0.749 0.249
0.000 0.000 0.000
```

***

(21)
AcPr3Hg2 after structural relaxation. Source: Alexandria, functional PBE-GGA.

Values from the calculation:
**Polymorph energy (0 for the lowest one)**: 0.052 eV/atom
**Raw total energy**: -3.44 eV per atom
**Total moment**: 0.00 μB per formula unit
**DOS at the Fermi energy**: 13.18 states/eV/cell
**Symmetry**: No. 12
**Formation enthalpy at 0 K**: -0.26 eV per atom

```
AcPr3Hg2
1.0
-4.373 -1.826 2.942
6.739 -7.219 0.249
0.396 7.556 5.277
Pr Hg Ac
6 4 2
direct
0.065 0.129 0.409
0.698 0.397 0.392
0.302 0.603 0.608
0.379 0.758 0.286
0.935 0.871 0.591
0.621 0.242 0.714
0.502 0.003 0.841
0.227 0.454 0.850
0.498 0.997 0.159
0.773 0.546 0.150
0.872 0.744 0.933
0.128 0.256 0.067
```

***

(22)
Ce2NdAg2Sn2 after structural relaxation. Source: Alexandria, functional PBE-GGA.

Values from the calculation:
**Raw total energy**: -4.72 eV per atom
**Total moment**: 2.26 μB per formula unit
**DOS at the Fermi energy**: 12.81 states/eV/cell
**Symmetry**: No. 166
**Formation enthalpy at 0 K**: -0.39 eV per atom

```
Ce2NdAg2Sn2
1.0
-4.391 -0.509 1.703
-2.966 -3.110 -1.991
0.532 -7.730 5.647
Sn Ce Ag Nd
2 2 2 1
direct
0.734 0.734 0.798
0.266 0.266 0.202
0.144 0.144 0.568
0.856 0.856 0.432
0.422 0.422 0.733
0.578 0.578 0.267
0.000 0.000 0.000
```